Density functional theory data (PBE) for a geometry-optimized Mg2IrOs structure.

Results
ρ in Mg/m³: 11.30
E above lowest polymorph in meV per atom: 139

```
data_Mg2IrOs
_space_group_name_H-M_alt 'P m m 2'
_space_group_IT_number 25
_space_group_name_Hall 'P 2 -2'
_cell_length_a 2.821
_cell_length_b 3.963
_cell_length_c 5.663
_cell_angle_alpha 90.00
_cell_angle_beta 90.00
_cell_angle_gamma 90.00
loop_
_atom_site_label
_atom_site_type_symbol
_atom_site_fract_x
_atom_site_fract_y
_atom_site_fract_z
Mg1 Mg 0.000 0.000 0.000
Mg2 Mg 0.500 0.500 0.271
Ir1 Ir 0.500 0.500 0.746
Os1 Os 0.000 0.000 0.526
```